Record 1
Density functional theory data (GGA-PBE) for crystalline CaNd2Si3Pt4 at its relaxed geometry.

The space group is P-4m2 (No. 115) and the conventional cell measures 4.279, 4.279 and 10.772 Å, with angles of 90.00, 90.00 and 90.00 degrees. Symmetry generates all atoms from Ca at (0.000, 0.000, 0.000), Nd at (0.000, 0.500, 0.730), Si at (0.000, 0.500, 0.382), Si at (0.500, 0.500, 0.000), Pt at (0.000, 0.000, 0.500), Pt at (0.000, 0.500, 0.161) and Pt at (0.500, 0.500, 0.500).

The volume comes out at 197.2 Å³ per cell. The total energy comes out at -6.178 eV/atom. The formation energy (no corrections) is -981 meV/atom.


Record 2
Density functional theory data (GGA-PBE) for crystalline LiCu2Ni at its relaxed geometry.

The space group is P4mm (No. 99) and the conventional cell measures 2.519, 2.519 and 7.520 Å, with angles of 90.00, 90.00 and 90.00 degrees. Symmetry generates all atoms from Li at (0.000, 0.000, 0.000), Cu at (0.000, 0.000, 0.485), Cu at (0.500, 0.500, 0.731) and Ni at (0.500, 0.500, 0.250).

The volume comes out at 47.7 Å³ per cell. The total energy comes out at -3.957 eV/atom. Its formation energy is 0.1 eV/f.u. For the relative energy among the computed polymorphs, the calculation gives 60 meV per atom.